# 1
Crystalline Y5BTe4 at its relaxed geometry, computed with PBE-GGA.

Computed properties:
Density, g cm⁻³: 5.8
Electronic total energy, eV/atom: -6.313
Energy relative to the elements, uncorrected, meV per atom: -1157

Cell lengths 7.4207, 7.4207, 7.4207 Å; angles 99.53, 99.53, 131.98 degrees
Positions (direct):
Y  0.0000  0.0000  0.0000
Y  0.2764  0.6202  0.8396
Y  0.4368  0.2764  0.6561
Y  0.6202  0.7807  0.3439
Y  0.7807  0.4368  0.1604
B  0.5474  0.5474  0.0000
Te  0.1149  0.3369  0.3960
Te  0.3369  0.9409  0.2220
Te  0.7189  0.1149  0.7780
Te  0.9409  0.7189  0.6040


# 2
Crystalline DyErTmIn at its relaxed geometry, computed with PBE-GGA.

Computed properties:
Density, g cm⁻³: 9.1
Electronic total energy, eV/atom: -4.222
E_form, meV per atom: -128
E above lowest polymorph, meV/atom: 134

Cell lengths 5.4083, 5.4083, 5.4083 Å; angles 60.00, 60.00, 60.00 degrees
Positions (direct):
Dy  0.0000  0.0000  0.0000
Er  0.5000  0.5000  0.5000
Tm  0.7500  0.7500  0.7500
In  0.2500  0.2500  0.2500


# 3
Crystalline SrNiW2 at its relaxed geometry, computed with PBE-GGA.

Computed properties:
Density, g cm⁻³: 11.8
Electronic total energy, eV/atom: -7.669
E_form, meV per atom: 673
E above lowest polymorph, meV/atom: 104

Cell lengths 2.8579, 2.8579, 9.0805 Å; angles 90.00, 90.00, 103.23 degrees
Positions (direct):
Sr  0.0000  0.0000  0.0000
Ni  0.5000  0.5000  0.2713
W  0.0000  0.0000  0.4608
W  0.5000  0.5000  0.6910


# 4
Crystalline LaTePdI2 at its relaxed geometry, computed with PBE-GGA.

Computed properties:
Density, g cm⁻³: 4.3
Electronic total energy, eV/atom: -3.500
Energy relative to the elements, uncorrected, meV per atom: -228
E above lowest polymorph, meV/atom: 341

Cell lengths 6.2348, 6.2348, 6.2567 Å; angles 90.00, 90.00, 90.00 degrees
Positions (direct):
La  0.0000  0.0000  0.0000
Te  0.0000  0.0000  0.5000
Pd  0.5000  0.5000  0.5000
I  0.0000  0.5000  0.0000
I  0.5000  0.0000  0.0000


# 5
Crystalline Pr3Al5Te12 at its relaxed geometry, computed with PBE-GGA.

Computed properties:
Density, g cm⁻³: 5.3
Electronic total energy, eV/atom: -4.319
Energy relative to the elements, uncorrected, meV per atom: -781

Cell lengths 15.0116, 15.0116, 15.0116 Å; angles 109.47, 109.47, 109.47 degrees
Positions (direct):
Pr  0.1250  0.2500  0.3750
Pr  0.1250  0.3750  0.7500
Pr  0.2500  0.3750  0.1250
Pr  0.2500  0.8750  0.6250
Pr  0.3750  0.1250  0.2500
Pr  0.3750  0.7500  0.1250
Pr  0.6250  0.2500  0.8750
Pr  0.6250  0.8750  0.7500
Pr  0.7500  0.1250  0.3750
Pr  0.7500  0.6250  0.8750
Pr  0.8750  0.6250  0.2500
Pr  0.8750  0.7500  0.6250
Al  0.0000  0.0000  0.0000
Al  0.0000  0.0000  0.5000
Al  0.0000  0.5000  0.0000
Al  0.0000  0.5000  0.5000
Al  0.1250  0.7500  0.8750
Al  0.1250  0.8750  0.2500
Al  0.2500  0.1250  0.8750
Al  0.2500  0.6250  0.3750
Al  0.3750  0.2500  0.6250
Al  0.3750  0.6250  0.7500
Al  0.5000  0.0000  0.0000
Al  0.5000  0.0000  0.5000
Al  0.5000  0.5000  0.0000
Al  0.5000  0.5000  0.5000
Al  0.6250  0.3750  0.2500
Al  0.6250  0.7500  0.3750
Al  0.7500  0.3750  0.6250
Al  0.7500  0.8750  0.1250
Al  0.8750  0.1250  0.7500
Al  0.8750  0.2500  0.1250
Te  0.0309  0.2069  0.1211
Te  0.0309  0.3239  0.9098
Te  0.0859  0.7069  0.6761
Te  0.0859  0.8789  0.4098
Te  0.0902  0.6211  0.4141
Te  0.0902  0.9691  0.6761
Te  0.1211  0.0309  0.2069
Te  0.1211  0.5902  0.9141
Te  0.1761  0.2069  0.5859
Te  0.1761  0.4691  0.5902
Te  0.2069  0.1211  0.0309
Te  0.2069  0.5859  0.1761
Te  0.2931  0.3239  0.9141
Te  0.2931  0.4691  0.3789
Te  0.3239  0.9098  0.0309
Te  0.3239  0.9141  0.2931
Te  0.3789  0.2931  0.4691
Te  0.3789  0.5859  0.9098
Te  0.4098  0.0859  0.8789
Te  0.4098  0.8239  0.5309
Te  0.4141  0.0902  0.6211
Te  0.4141  0.8239  0.7931
Te  0.4691  0.3789  0.2931
Te  0.4691  0.5902  0.1761
Te  0.5309  0.4098  0.8239
Te  0.5309  0.6211  0.7069
Te  0.5859  0.1761  0.2069
Te  0.5859  0.9098  0.3789
Te  0.5902  0.1761  0.4691
Te  0.5902  0.9141  0.1211
Te  0.6211  0.4141  0.0902
Te  0.6211  0.7069  0.5309
Te  0.6761  0.0859  0.7069
Te  0.6761  0.0902  0.9691
Te  0.7069  0.5309  0.6211
Te  0.7069  0.6761  0.0859
Te  0.7931  0.4141  0.8239
Te  0.7931  0.8789  0.9691
Te  0.8239  0.5309  0.4098
Te  0.8239  0.7931  0.4141
Te  0.8789  0.4098  0.0859
Te  0.8789  0.9691  0.7931
Te  0.9098  0.0309  0.3239
Te  0.9098  0.3789  0.5859
Te  0.9141  0.1211  0.5902
Te  0.9141  0.2931  0.3239
Te  0.9691  0.6761  0.0902
Te  0.9691  0.7931  0.8789


# 6
Crystalline BeAgRh2 at its relaxed geometry, computed with PBE-GGA.

Computed properties:
Density, g cm⁻³: 9.6
Electronic total energy, eV/atom: -5.131
E_form, meV per atom: 189

Cell lengths 4.5952, 4.5952, 4.5952 Å; angles 129.98, 129.98, 73.44 degrees
Positions (direct):
Be  0.0000  0.0000  0.0000
Ag  0.5000  0.5000  0.0000
Rh  0.2500  0.7500  0.5000
Rh  0.7500  0.2500  0.5000


# 7
Crystalline PmAgBi at its relaxed geometry, computed with PBE-GGA.

Computed properties:
Density, g cm⁻³: 8.8
Electronic total energy, eV/atom: -3.882
E_form, meV per atom: -54
E above lowest polymorph, meV/atom: 395

Cell lengths 8.5917, 8.5917, 6.0637 Å; angles 90.00, 90.00, 157.11 degrees
Positions (direct):
Pm  0.1756  0.8244  0.7500
Pm  0.8244  0.1756  0.2500
Ag  0.3568  0.6432  0.7500
Ag  0.6432  0.3568  0.2500
Bi  0.0000  0.0000  0.0000
Bi  0.0000  0.0000  0.5000


# 8
Crystalline MgZr2Cl at its relaxed geometry, computed with PBE-GGA.

Computed properties:
Density, g cm⁻³: 4.4
Electronic total energy, eV/atom: -4.689
Energy relative to the elements, uncorrected, meV per atom: 445
E above lowest polymorph, meV/atom: 933

Cell lengths 5.0730, 5.0730, 5.0730 Å; angles 60.00, 60.00, 60.00 degrees
Positions (direct):
Mg  0.0000  0.0000  0.0000
Zr  0.5000  0.5000  0.5000
Zr  0.7500  0.7500  0.7500
Cl  0.2500  0.2500  0.2500